A.
## BaHgBi3 (PBE)

Data for a relaxed BaHgBi3 crystal.

Calculated volume in Å³ per cell: 272.5
Total magnetic moment in μB per formula unit: 0.00

Geometry as CIF:
```
data_BaHgBi3
_symmetry_space_group_name_H-M 'P 1'
_symmetry_Int_Tables_number 1
_cell_length_a 6.483
_cell_length_b 6.483
_cell_length_c 6.483
_cell_angle_alpha 90.00
_cell_angle_beta 90.00
_cell_angle_gamma 90.00
loop_
_symmetry_equiv_pos_as_xyz
'x,y,z'
loop_
_atom_site_label
_atom_site_fract_x
_atom_site_fract_y
_atom_site_fract_z
Ba1 0.000 0.000 0.000
Hg1 0.500 0.500 0.500
Bi1 0.000 0.000 0.500
Bi2 0.000 0.500 0.000
Bi3 0.500 0.000 0.000
```

=====

B.
## BaHgBi3 (PBE)

Data for a relaxed BaHgBi3 crystal.

Calculated volume in Å³ per cell: 723.9
Total magnetic moment in μB per formula unit: 0.00

Geometry as CIF:
```
data_BaHgBi3
_symmetry_space_group_name_H-M 'P 1'
_symmetry_Int_Tables_number 1
_cell_length_a 10.270
_cell_length_b 5.827
_cell_length_c 12.098
_cell_angle_alpha 90.00
_cell_angle_beta 90.00
_cell_angle_gamma 90.00
loop_
_symmetry_equiv_pos_as_xyz
'x,y,z'
loop_
_atom_site_label
_atom_site_fract_x
_atom_site_fract_y
_atom_site_fract_z
Ba1 0.238 0.250 0.022
Ba2 0.262 0.750 0.522
Ba3 0.738 0.250 0.478
Ba4 0.762 0.750 0.978
Hg1 0.072 0.750 0.116
Hg2 0.428 0.250 0.616
Hg3 0.572 0.750 0.384
Hg4 0.928 0.250 0.884
Bi1 0.059 0.250 0.648
Bi2 0.093 0.250 0.375
Bi3 0.099 0.750 0.841
Bi4 0.401 0.250 0.341
Bi5 0.407 0.750 0.875
Bi6 0.441 0.750 0.148
Bi7 0.559 0.250 0.852
Bi8 0.593 0.250 0.125
Bi9 0.599 0.750 0.659
Bi10 0.901 0.250 0.159
Bi11 0.907 0.750 0.625
Bi12 0.941 0.750 0.352
```

=====

Most stable one: B, least stable one: A.

=====

A.
## BaHg2Bi3 (PBE)

Data for a relaxed BaHg2Bi3 crystal.

Calculated volume in Å³ per cell: 415.0
Total magnetic moment in μB per formula unit: 0.00

Geometry as CIF:
```
data_BaHg2Bi3
_symmetry_space_group_name_H-M 'P 1'
_symmetry_Int_Tables_number 1
_cell_length_a 7.770
_cell_length_b 6.857
_cell_length_c 7.789
_cell_angle_alpha 90.00
_cell_angle_beta 90.76
_cell_angle_gamma 90.00
loop_
_symmetry_equiv_pos_as_xyz
'x,y,z'
loop_
_atom_site_label
_atom_site_fract_x
_atom_site_fract_y
_atom_site_fract_z
Ba1 0.164 0.250 0.336
Ba2 0.836 0.750 0.664
Hg1 0.240 0.000 0.739
Hg2 0.240 0.500 0.739
Hg3 0.760 0.000 0.261
Hg4 0.760 0.500 0.261
Bi1 0.080 0.750 0.135
Bi2 0.364 0.750 0.419
Bi3 0.481 0.750 0.019
Bi4 0.519 0.250 0.981
Bi5 0.636 0.250 0.581
Bi6 0.920 0.250 0.865
```

=====

B.
## BaHg2Bi3 (PBE)

Data for a relaxed BaHg2Bi3 crystal.

Calculated volume in Å³ per cell: 206.7
Total magnetic moment in μB per formula unit: 0.00

Geometry as CIF:
```
data_BaHg2Bi3
_symmetry_space_group_name_H-M 'P 1'
_symmetry_Int_Tables_number 1
_cell_length_a 6.805
_cell_length_b 6.805
_cell_length_c 5.154
_cell_angle_alpha 90.00
_cell_angle_beta 90.00
_cell_angle_gamma 120.00
loop_
_symmetry_equiv_pos_as_xyz
'x,y,z'
loop_
_atom_site_label
_atom_site_fract_x
_atom_site_fract_y
_atom_site_fract_z
Ba1 0.000 0.000 0.000
Hg1 0.333 0.667 0.000
Hg2 0.667 0.333 0.000
Bi1 0.000 0.500 0.500
Bi2 0.500 0.000 0.500
Bi3 0.500 0.500 0.500
```

=====

Most stable one: A, least stable one: B.

=====

A.
## BaHg6Bi (PBE)

Data for a relaxed BaHg6Bi crystal.

Calculated volume in Å³ per cell: 242.5
Total magnetic moment in μB per formula unit: 0.00

Geometry as CIF:
```
data_BaHg6Bi
_symmetry_space_group_name_H-M 'P 1'
_symmetry_Int_Tables_number 1
_cell_length_a 6.236
_cell_length_b 6.236
_cell_length_c 6.236
_cell_angle_alpha 90.00
_cell_angle_beta 90.00
_cell_angle_gamma 90.00
loop_
_symmetry_equiv_pos_as_xyz
'x,y,z'
loop_
_atom_site_label
_atom_site_fract_x
_atom_site_fract_y
_atom_site_fract_z
Ba1 0.000 0.000 0.000
Hg1 0.000 0.260 0.500
Hg2 0.000 0.740 0.500
Hg3 0.260 0.500 0.000
Hg4 0.500 0.000 0.260
Hg5 0.500 0.000 0.740
Hg6 0.740 0.500 0.000
Bi1 0.500 0.500 0.500
```

=====

B.
## BaHg6Bi (PBE)

Data for a relaxed BaHg6Bi crystal.

Calculated volume in Å³ per cell: 240.8
Total magnetic moment in μB per formula unit: 0.00

Geometry as CIF:
```
data_BaHg6Bi
_symmetry_space_group_name_H-M 'P 1'
_symmetry_Int_Tables_number 1
_cell_length_a 5.064
_cell_length_b 7.021
_cell_length_c 7.021
_cell_angle_alpha 74.74
_cell_angle_beta 90.00
_cell_angle_gamma 90.00
loop_
_symmetry_equiv_pos_as_xyz
'x,y,z'
loop_
_atom_site_label
_atom_site_fract_x
_atom_site_fract_y
_atom_site_fract_z
Ba1 0.000 0.000 0.000
Hg1 0.000 0.100 0.489
Hg2 0.000 0.489 0.100
Hg3 0.500 0.222 0.222
Hg4 0.500 0.290 0.701
Hg5 0.500 0.701 0.290
Hg6 0.500 0.782 0.782
Bi1 0.000 0.600 0.600
```

=====

Most stable one: B, least stable one: A.

=====

A.
## BaHg3Bi3 (PBE)

Data for a relaxed BaHg3Bi3 crystal.

Calculated volume in Å³ per cell: 564.7
Total magnetic moment in μB per formula unit: 0.00

Geometry as CIF:
```
data_BaHg3Bi3
_symmetry_space_group_name_H-M 'P 1'
_symmetry_Int_Tables_number 1
_cell_length_a 8.265
_cell_length_b 8.265
_cell_length_c 8.265
_cell_angle_alpha 90.00
_cell_angle_beta 90.00
_cell_angle_gamma 90.00
loop_
_symmetry_equiv_pos_as_xyz
'x,y,z'
loop_
_atom_site_label
_atom_site_fract_x
_atom_site_fract_y
_atom_site_fract_z
Ba1 0.000 0.000 0.000
Ba2 0.500 0.500 0.500
Hg1 0.000 0.250 0.500
Hg2 0.000 0.750 0.500
Hg3 0.250 0.500 0.000
Hg4 0.500 0.000 0.250
Hg5 0.500 0.000 0.750
Hg6 0.750 0.500 0.000
Bi1 0.000 0.500 0.250
Bi2 0.000 0.500 0.750
Bi3 0.250 0.000 0.500
Bi4 0.500 0.250 0.000
Bi5 0.500 0.750 0.000
Bi6 0.750 0.000 0.500
```

=====

B.
## BaHg3Bi3 (PBE)

Data for a relaxed BaHg3Bi3 crystal.

Calculated volume in Å³ per cell: 445.2
Total magnetic moment in μB per formula unit: 0.00

Geometry as CIF:
```
data_BaHg3Bi3
_symmetry_space_group_name_H-M 'P 1'
_symmetry_Int_Tables_number 1
_cell_length_a 9.702
_cell_length_b 9.702
_cell_length_c 5.461
_cell_angle_alpha 90.00
_cell_angle_beta 90.00
_cell_angle_gamma 120.00
loop_
_symmetry_equiv_pos_as_xyz
'x,y,z'
loop_
_atom_site_label
_atom_site_fract_x
_atom_site_fract_y
_atom_site_fract_z
Ba1 0.333 0.667 0.250
Ba2 0.667 0.333 0.750
Hg1 0.085 0.464 0.750
Hg2 0.379 0.915 0.750
Hg3 0.464 0.379 0.250
Hg4 0.536 0.621 0.750
Hg5 0.621 0.085 0.250
Hg6 0.915 0.536 0.250
Bi1 0.023 0.221 0.250
Bi2 0.198 0.977 0.250
Bi3 0.221 0.198 0.750
Bi4 0.779 0.802 0.250
Bi5 0.802 0.023 0.750
Bi6 0.977 0.779 0.750
```

=====

Most stable one: B, least stable one: A.

=====

A.
## BaHg4Bi (PBE)

Data for a relaxed BaHg4Bi crystal.

Calculated volume in Å³ per cell: 181.4
Total magnetic moment in μB per formula unit: 0.00

Geometry as CIF:
```
data_BaHg4Bi
_symmetry_space_group_name_H-M 'P 1'
_symmetry_Int_Tables_number 1
_cell_length_a 6.457
_cell_length_b 6.457
_cell_length_c 6.457
_cell_angle_alpha 129.74
_cell_angle_beta 112.72
_cell_angle_gamma 88.54
loop_
_symmetry_equiv_pos_as_xyz
'x,y,z'
loop_
_atom_site_label
_atom_site_fract_x
_atom_site_fract_y
_atom_site_fract_z
Ba1 0.000 0.000 0.000
Hg1 0.082 0.337 0.745
Hg2 0.408 0.663 0.745
Hg3 0.592 0.337 0.255
Hg4 0.918 0.663 0.255
Bi1 0.500 0.000 0.500
```

=====

B.
## BaHg4Bi (PBE)

Data for a relaxed BaHg4Bi crystal.

Calculated volume in Å³ per cell: 182.7
Total magnetic moment in μB per formula unit: 0.00

Geometry as CIF:
```
data_BaHg4Bi
_symmetry_space_group_name_H-M 'P 1'
_symmetry_Int_Tables_number 1
_cell_length_a 6.369
_cell_length_b 6.369
_cell_length_c 6.369
_cell_angle_alpha 60.00
_cell_angle_beta 60.00
_cell_angle_gamma 60.00
loop_
_symmetry_equiv_pos_as_xyz
'x,y,z'
loop_
_atom_site_label
_atom_site_fract_x
_atom_site_fract_y
_atom_site_fract_z
Ba1 0.000 0.000 0.000
Hg1 0.128 0.624 0.624
Hg2 0.624 0.128 0.624
Hg3 0.624 0.624 0.128
Hg4 0.624 0.624 0.624
Bi1 0.250 0.250 0.250
```

=====

C.
## BaHg4Bi (PBE)

Data for a relaxed BaHg4Bi crystal.

Calculated volume in Å³ per cell: 398.0
Total magnetic moment in μB per formula unit: 0.00

Geometry as CIF:
```
data_BaHg4Bi
_symmetry_space_group_name_H-M 'P 1'
_symmetry_Int_Tables_number 1
_cell_length_a 13.712
_cell_length_b 13.712
_cell_length_c 6.137
_cell_angle_alpha 90.00
_cell_angle_beta 90.00
_cell_angle_gamma 159.82
loop_
_symmetry_equiv_pos_as_xyz
'x,y,z'
loop_
_atom_site_label
_atom_site_fract_x
_atom_site_fract_y
_atom_site_fract_z
Ba1 0.106 0.894 0.750
Ba2 0.894 0.106 0.250
Hg1 0.175 0.825 0.250
Hg2 0.288 0.712 0.015
Hg3 0.288 0.712 0.485
Hg4 0.500 0.500 0.000
Hg5 0.500 0.500 0.500
Hg6 0.712 0.288 0.515
Hg7 0.712 0.288 0.985
Hg8 0.825 0.175 0.750
Bi1 0.404 0.596 0.750
Bi2 0.596 0.404 0.250
```

=====

Most stable one: A, least stable one: C.